Run i
A plane-wave DFT calculation with PBE-GGA was carried out for an optimized crystal structure of MnMoBr2.

Cell: 3.2090 4.5237 12.2661 Å, 90.00 90.00 90.00°
With the nearest neighbours (Å) after each atom.
Space group Imm2 (No. 44)
Symmetry-distinct sites (fractional):
Mn  0.0000  0.0000  0.0000 x2  2 Mo 2.59
Mo  0.0000  0.5000  0.6658 x2  2 Mn 2.59, 4 Br 2.77
Br  0.0000  0.0000  0.3807 x2  2 Mo 3.09, 4 Mn 3.14, 2 Br 3.21
Br  0.0000  0.5000  0.1604 x2  4 Mo 2.77, 2 Mn 3.00

Calculated values
**DOS(E_F)**: 1.46 states/eV/f.u.



Run ii
A plane-wave DFT calculation with PBE-GGA was carried out for an optimized crystal structure of MnMoBr2.

Cell: 6.2715 8.7136 3.2566 Å, 90.00 113.91 90.00°
With the nearest neighbours (Å) after each atom.
Space group C2/m (No. 12)
Symmetry-distinct sites (fractional):
Mn  0.0000  0.0000  0.0000 x2  4 Br 2.68
Mo  0.0000  0.5000  0.0000 x2  4 Br 2.68
Br  0.2500  0.2500  0.0000 x4  2 Mn 2.68, 2 Mo 2.68

Calculated values
**DOS(E_F)**: 4.82 states/eV/f.u.



run i is favored, and the nearest alternative lies 312 meV per atom above it.



Run i
A plane-wave DFT calculation with PBE-GGA was carried out for an optimized crystal structure of MnMoBr2.

Cell: 3.3459 3.3459 6.6126 Å, 90.00 90.00 90.00°
With the nearest neighbours (Å) after each atom.
Space group P4/mmm (No. 123)
Symmetry-distinct sites (fractional):
Mn  0.0000  0.0000  0.0000 x1  8 Br 2.88
Mo  0.0000  0.0000  0.5000 x1  8 Br 2.90
Br  0.5000  0.5000  0.2473 x2  4 Mn 2.88, 4 Mo 2.90

Calculated values
**DOS(E_F)**: 2.84 states/eV/f.u.



Run ii
A plane-wave DFT calculation with PBE-GGA was carried out for an optimized crystal structure of MnMoBr2.

Cell: 6.9796 6.9796 6.9796 Å, 90.00 90.00 90.00°
With the nearest neighbours (Å) after each atom.
Space group F-43m (No. 216)
Symmetry-distinct sites (fractional):
Mn  0.0000  0.0000  0.0000 x4  4 Mo 3.02, 4 Br 3.02
Mo  0.2500  0.2500  0.7500 x4  4 Br 3.02, 4 Mn 3.02
Br  0.0000  0.0000  0.5000 x4  4 Br 3.02, 4 Mo 3.02
Br  0.2500  0.2500  0.2500 x4  4 Mn 3.02, 4 Br 3.02

Calculated values
**DOS(E_F)**: 1.56 states/eV/f.u.



Run iii
A plane-wave DFT calculation with PBE-GGA was carried out for an optimized crystal structure of MnMoBr2.

Cell: 9.6044 3.4459 6.8783 Å, 90.00 98.30 90.00°
With the nearest neighbours (Å) after each atom.
Space group Cm (No. 8)
Symmetry-distinct sites (fractional):
Mn  0.0000  0.0000  0.0000 x2  2 Mo 2.40
Mo  0.1764  0.5000  0.0338 x2  2 Mn 2.40, 1 Br 2.58
Br  0.0186  0.5000  0.3079 x2  1 Mo 2.58, 2 Mn 2.72
Br  0.3068  0.0000  0.7963 x2  2 Mn 2.76, 2 Mo 2.79

Calculated values
**DOS(E_F)**: 0.10 states/eV/f.u.



run iii is favored, and the nearest alternative lies 435 meV per atom above it.